# NaPmBiIr

A relaxed NaPmBiIr crystal (PBE-GGA, Alexandria).

Summary:
The calculation puts the density of states at the Fermi level at 1.104 states/eV/f.u. The value obtained for the formation energy from the elements is -0.3516 eV/atom. For the total DFT energy (no corrections), the calculation gives -5.0545 eV per atom.

a b c (Å): 4.981 4.981 4.981
angles (deg): 60.00 60.00 60.00
Positions (direct):
Na 0.000 0.000 0.000
Pm 0.750 0.750 0.750
Bi 0.250 0.250 0.250
Ir 0.500 0.500 0.500

# Zn2InAgCl6

A relaxed Zn2InAgCl6 crystal (PBE-GGA, Alexandria).

Summary:
The calculation puts the density of states at the Fermi level at 0.000 states/eV/f.u. The calculation puts the uncorrected formation energy at -90.0 kJ per mole of atoms. For the total DFT energy (no corrections), the calculation gives -2.8550 eV per atom.

a b c (Å): 9.694 9.694 6.608
angles (deg): 98.54 98.54 92.73
Positions (direct):
Zn 0.126 0.275 0.231
Zn 0.275 0.126 0.731
Zn 0.725 0.874 0.269
Zn 0.874 0.725 0.769
In 0.394 0.606 0.750
In 0.606 0.394 0.250
Ag 0.185 0.815 0.250
Ag 0.815 0.185 0.750
Cl 0.079 0.201 0.540
Cl 0.087 0.669 0.920
Cl 0.201 0.079 0.040
Cl 0.290 0.454 0.292
Cl 0.331 0.913 0.580
Cl 0.454 0.290 0.792
Cl 0.546 0.710 0.208
Cl 0.669 0.087 0.420
Cl 0.710 0.546 0.708
Cl 0.799 0.921 0.960
Cl 0.913 0.331 0.080
Cl 0.921 0.799 0.460

# Tb2PaPd9

A relaxed Tb2PaPd9 crystal (PBE-GGA, Alexandria).

Summary:
The calculation puts the density of states at the Fermi level at 2.467 states/eV/f.u. The value obtained for the formation energy from the elements is -0.8949 eV/atom. For the total DFT energy (no corrections), the calculation gives -6.3525 eV per atom.

a b c (Å): 4.135 4.135 12.402
angles (deg): 90.00 90.00 90.00
Positions (direct):
Tb 0.000 0.000 0.162
Tb 0.000 0.000 0.838
Pa 0.000 0.000 0.500
Pd 0.000 0.500 0.000
Pd 0.000 0.500 0.339
Pd 0.000 0.500 0.661
Pd 0.500 0.000 0.000
Pd 0.500 0.000 0.339
Pd 0.500 0.000 0.661
Pd 0.500 0.500 0.169
Pd 0.500 0.500 0.500
Pd 0.500 0.500 0.831

# Y2Ti2Cu

A relaxed Y2Ti2Cu crystal (PBE-GGA, Alexandria).

Summary:
The calculation puts the density of states at the Fermi level at 4.004 states/eV/f.u. The value obtained for the formation energy from the elements is 0.1992 eV/atom. For the total DFT energy (no corrections), the calculation gives -6.3636 eV per atom.

a b c (Å): 6.749 6.749 4.885
angles (deg): 90.00 90.00 90.00
Positions (direct):
Y 0.168 0.332 0.000
Y 0.332 0.832 0.000
Y 0.668 0.168 0.000
Y 0.832 0.668 0.000
Ti 0.138 0.638 0.500
Ti 0.362 0.138 0.500
Ti 0.638 0.862 0.500
Ti 0.862 0.362 0.500
Cu 0.000 0.000 0.500
Cu 0.500 0.500 0.500

# Li2InSiS4

A relaxed Li2InSiS4 crystal (PBE-GGA, Alexandria).

Summary:
The calculation puts the density of states at the Fermi level at 5.096 states/eV/f.u. The calculation puts the uncorrected formation energy at -79.2 kJ per mole of atoms. For the total DFT energy (no corrections), the calculation gives -4.3833 eV per atom.

a b c (Å): 5.680 5.681 6.893
angles (deg): 114.28 114.28 90.01
Positions (direct):
Li 0.000 0.000 0.000
Li 0.250 0.750 0.500
In 0.751 0.250 0.500
Si 0.500 0.500 0.000
S 0.196 0.636 0.785
S 0.364 0.410 0.215
S 0.590 0.149 0.785
S 0.851 0.804 0.215

# MgTl2TcO6

A relaxed MgTl2TcO6 crystal (PBE-GGA, Alexandria).

Summary:
The calculation puts the density of states at the Fermi level at 2.820 states/eV/f.u. The calculation puts the uncorrected formation energy at -110.0 kJ per mole of atoms. For the total DFT energy (no corrections), the calculation gives -5.7844 eV per atom.

a b c (Å): 6.362 6.362 5.407
angles (deg): 90.00 90.00 120.00
Positions (direct):
Mg 0.000 0.000 0.000
Tl 0.333 0.667 0.455
Tl 0.667 0.333 0.545
Tc 0.000 0.000 0.500
O 0.137 0.274 0.283
O 0.137 0.863 0.283
O 0.274 0.137 0.717
O 0.726 0.863 0.283
O 0.863 0.137 0.717
O 0.863 0.726 0.717